[1]
First-principles (GGA-PBE) data for a relaxed structure of V2MoAs2, as listed in Alexandria via LeMat-Bulk.

```
data_V2MoAs2
_chemical_formula_sum 'V4 Mo2 As4'
_symmetry_space_group_name_H-M 'P 4/m b m'
_symmetry_Int_Tables_number 127
_symmetry_space_group_name_Hall '-P 4 2ab'
_cell_length_a 6.784
_cell_length_b 6.784
_cell_length_c 3.213
_cell_angle_alpha 90.00
_cell_angle_beta 90.00
_cell_angle_gamma 90.00
loop_
_atom_site_label
_atom_site_type_symbol
_atom_site_fract_x
_atom_site_fract_y
_atom_site_fract_z
V1 V 0.143 0.357 0.000
Mo1 Mo 0.000 0.000 0.500
As1 As 0.151 0.651 0.500
```

---

[2]
First-principles (GGA-PBE) data for a relaxed structure of La3Ag4Hg2, as listed in Alexandria via LeMat-Bulk.

```
data_La3Ag4Hg2
_chemical_formula_sum 'La6 Ag8 Hg4'
_symmetry_space_group_name_H-M 'C 1 2/m 1'
_symmetry_Int_Tables_number 12
_cell_length_a 11.226
_cell_length_b 4.936
_cell_length_c 9.311
_cell_angle_alpha 90.00
_cell_angle_beta 117.54
_cell_angle_gamma 90.00
loop_
_symmetry_equiv_pos_as_xyz
'x,y,z'
'-x,-y,-z'
'-x,y,-z'
'x,-y,z'
'x+1/2,y+1/2,z'
'-x+1/2,-y+1/2,-z'
'-x+1/2,y+1/2,-z'
'x+1/2,-y+1/2,z'
loop_
_atom_site_label
_atom_site_type_symbol
_atom_site_fract_x
_atom_site_fract_y
_atom_site_fract_z
La1 La 0.000 0.000 0.000
La2 La 0.164 0.500 0.669
Ag1 Ag 0.056 0.000 0.392
Ag2 Ag 0.226 0.500 0.056
Hg1 Hg 0.115 0.500 0.281
```

---

[3]
First-principles (GGA-PBE) data for a relaxed structure of Nd2Dy2Zn3, as listed in Alexandria via LeMat-Bulk.

```
data_Nd2Dy2Zn3
_chemical_formula_sum 'Nd8 Dy8 Zn12'
_symmetry_space_group_name_H-M 'I 21 3'
_symmetry_Int_Tables_number 199
_symmetry_space_group_name_Hall 'I 2b 2c 3'
_cell_length_a 9.024
_cell_length_b 9.024
_cell_length_c 9.024
_cell_angle_alpha 90.00
_cell_angle_beta 90.00
_cell_angle_gamma 90.00
loop_
_atom_site_label
_atom_site_type_symbol
_atom_site_fract_x
_atom_site_fract_y
_atom_site_fract_z
Nd1 Nd 0.174 0.174 0.174
Dy1 Dy 0.070 0.430 0.570
Zn1 Zn 0.000 0.250 0.861
```

---

[4]
# HgP | Alexandria via LeMat-Bulk | GGA-PBE | optimized geometry
# * excess energy over the best structure of this formula in the dataset: 12 kJ/mol of formula units
data_HgP
_chemical_formula_sum 'Hg2 P2'
_symmetry_space_group_name_H-M 'P 1 21/m 1'
_symmetry_Int_Tables_number 11
_cell_length_a 4.286
_cell_length_b 3.288
_cell_length_c 6.980
_cell_angle_alpha 90.00
_cell_angle_beta 90.05
_cell_angle_gamma 90.00
loop_
_symmetry_equiv_pos_as_xyz
'x,y,z'
'-x,-y,-z'
'-x,y+1/2,-z'
'x,-y+1/2,z'
loop_
_atom_site_label
_atom_site_type_symbol
_atom_site_fract_x
_atom_site_fract_y
_atom_site_fract_z
Hg1 Hg 0.002 0.250 0.329
P1 P 0.499 0.750 0.897

---

[5]
# ZrScPt3 | Alexandria via LeMat-Bulk | GGA-PBE | optimized geometry
# * excess energy over the best structure of this formula in the dataset: 0 kJ/mol of formula units
data_ZrScPt3
_chemical_formula_sum 'Zr4 Sc4 Pt12'
_symmetry_space_group_name_H-M 'C m c m'
_symmetry_Int_Tables_number 63
_symmetry_space_group_name_Hall '-C 2c 2'
_cell_length_a 5.411
_cell_length_b 14.011
_cell_length_c 5.078
_cell_angle_alpha 90.00
_cell_angle_beta 90.00
_cell_angle_gamma 90.00
loop_
_atom_site_label
_atom_site_type_symbol
_atom_site_fract_x
_atom_site_fract_y
_atom_site_fract_z
Zr1 Zr 0.000 0.197 0.250
Sc1 Sc 0.000 0.435 0.750
Pt1 Pt 0.000 0.000 0.000
Pt2 Pt 0.246 0.360 0.250

---

[6]
# BaNaIr3 | Alexandria via LeMat-Bulk | GGA-PBE | optimized geometry
# * excess energy over the best structure of this formula in the dataset: 0 kJ/mol of formula units
data_BaNaIr3
_chemical_formula_sum 'Ba1 Na1 Ir3'
_symmetry_space_group_name_H-M 'P m -3 m'
_symmetry_Int_Tables_number 221
_symmetry_space_group_name_Hall '-P 4 2 3'
_cell_length_a 4.812
_cell_length_b 4.812
_cell_length_c 4.812
_cell_angle_alpha 90.00
_cell_angle_beta 90.00
_cell_angle_gamma 90.00
loop_
_atom_site_label
_atom_site_type_symbol
_atom_site_fract_x
_atom_site_fract_y
_atom_site_fract_z
Ba1 Ba 0.000 0.000 0.000
Na1 Na 0.500 0.500 0.500
Ir1 Ir 0.000 0.500 0.500

---

no.,total DFT energy (no corrections) (eV per atom),formation energy (eV per atom),ρ (g/cm3)
1,-7.8671,-0.194,7.81
2,-3.3431,-0.366,9.07
3,-3.3603,-0.137,7.32
4,-2.7651,0.091,7.82
5,-7.4247,-0.824,12.45
6,-4.3438,1.621,10.98